First-principles (meta-GGA SCAN) data for a PBEsol-optimized structure of ZnP2I2, as listed in Alexandria.

Cell lengths 3.413, 3.413, 11.028 Å; angles 98.90, 98.90, 90.00 degrees
Element x y z (fractional)
I (0.417, 0.417, 0.833)
I (0.583, 0.583, 0.167)
P (0.250, 0.750, 0.500)
P (0.750, 0.250, 0.500)
Zn (0.000, 0.000, 0.000)

Values from the calculation:
- E_form (uncorrected) (eV/atom) = 0.480

First-principles (meta-GGA SCAN) data for a PBEsol-optimized structure of Ba2ScSe, as listed in Alexandria.

Cell lengths 3.804, 5.920, 6.652 Å; angles 111.19, 106.61, 90.00 degrees
Site moments in Bohr magnetons follow the coordinates.
Element x y z (fractional)
Ba (0.956, 0.924, 0.913)  0.08
Ba (0.769, 0.280, 0.538)  0.02
Sc (0.563, 0.528, 0.125)  0.29
Se (0.212, 0.769, 0.424)  -0.01

Values from the calculation:
- E_form (uncorrected) (eV/atom) = -0.714

First-principles (meta-GGA SCAN) data for a PBEsol-optimized structure of KFeSbI2, as listed in Alexandria.

Cell lengths 6.263, 6.263, 6.272 Å; angles 90.00, 90.00, 90.00 degrees
Site moments in Bohr magnetons follow the coordinates.
Element x y z (fractional)
I (0.000, 0.500, 0.000)  0.12
I (0.500, 0.000, 0.000)  0.12
Sb (0.000, 0.000, 0.500)  1.00
K (0.000, 0.000, 0.000)  0.04
Fe (0.500, 0.500, 0.500)  3.95

Values from the calculation:
- E_form (uncorrected) (eV/atom) = 0.848